1.
Material: PrGdAlHg
Method: DFT, PBE-GGA
State: relaxed

## Properties
**Magnetization**: 2.000 μB per atom
**Formation energy**: -0.399 eV per atom
**Final energy**: -6.126 eV per atom

```
data_PrGdAlHg
_symmetry_space_group_name_H-M 'F -4 3 m'
_symmetry_Int_Tables_number 216
_symmetry_space_group_name_Hall 'F -4 2 3'
_cell_length_a 7.545
_cell_length_b 7.545
_cell_length_c 7.545
_cell_angle_alpha 90.00
_cell_angle_beta 90.00
_cell_angle_gamma 90.00
loop_
_atom_site_label
_atom_site_type_symbol
_atom_site_fract_x
_atom_site_fract_y
_atom_site_fract_z
_atom_site_occupancy
Pr1 Pr 0.000 0.000 0.000 1
Gd1 Gd 0.000 0.000 0.500 1
Al1 Al 0.250 0.250 0.250 1
Hg1 Hg 0.250 0.250 0.750 1
```



2.
Material: Rb2LiZnBi
Method: DFT, PBE-GGA
State: relaxed

## Properties
**Magnetization**: 0.000 μB per atom
**Formation energy**: 0.232 eV per atom
**Final energy**: -1.569 eV per atom

```
data_Rb2LiZnBi
_symmetry_space_group_name_H-M 'P 4/m m m'
_symmetry_Int_Tables_number 123
_symmetry_space_group_name_Hall '-P 4 2'
_cell_length_a 6.570
_cell_length_b 6.570
_cell_length_c 4.869
_cell_angle_alpha 90.00
_cell_angle_beta 90.00
_cell_angle_gamma 90.00
loop_
_atom_site_label
_atom_site_type_symbol
_atom_site_fract_x
_atom_site_fract_y
_atom_site_fract_z
_atom_site_occupancy
Rb1 Rb 0.000 0.500 0.000 1
Li1 Li 0.000 0.000 0.000 1
Zn1 Zn 0.000 0.000 0.500 1
Bi1 Bi 0.500 0.500 0.500 1
```



3.
Material: Ce4Si5Tc3
Method: DFT, PBE-GGA
State: relaxed

## Properties
**Magnetization**: 0.074 μB per atom
**ΔE_f (raw)**: -0.21 eV/atom
**Final energy**: -7.036 eV per atom

```
data_Ce4Si5Tc3
_symmetry_space_group_name_H-M 'C 1 2/m 1'
_symmetry_Int_Tables_number 12
_symmetry_space_group_name_Hall '-C 2y'
_cell_length_a 14.653
_cell_length_b 4.448
_cell_length_c 10.814
_cell_angle_alpha 90.00
_cell_angle_beta 132.37
_cell_angle_gamma 90.00
loop_
_atom_site_label
_atom_site_type_symbol
_atom_site_fract_x
_atom_site_fract_y
_atom_site_fract_z
_atom_site_occupancy
Ce1 Ce 0.128 0.000 0.374 1
Ce2 Ce 0.176 0.000 0.086 1
Si1 Si 0.000 0.000 0.500 1
Si2 Si 0.050 0.500 0.140 1
Si3 Si 0.075 0.500 0.795 1
Tc1 Tc 0.000 0.500 0.500 1
Tc2 Tc 0.225 0.000 0.658 1
```



4.
Material: TaMnGa3
Method: DFT, PBE-GGA
State: relaxed

## Properties
**Magnetization**: 0.113 μB per atom
**Formation energy**: 1.353 eV per atom
**Final energy**: -4.668 eV per atom

```
data_TaMnGa3
_symmetry_space_group_name_H-M 'P m -3 m'
_symmetry_Int_Tables_number 221
_symmetry_space_group_name_Hall '-P 4 2 3'
_cell_length_a 5.045
_cell_length_b 5.045
_cell_length_c 5.045
_cell_angle_alpha 90.00
_cell_angle_beta 90.00
_cell_angle_gamma 90.00
loop_
_atom_site_label
_atom_site_type_symbol
_atom_site_fract_x
_atom_site_fract_y
_atom_site_fract_z
_atom_site_occupancy
Ta1 Ta 0.000 0.000 0.000 1
Mn1 Mn 0.500 0.500 0.500 1
Ga1 Ga 0.000 0.000 0.500 1
```



5.
Material: CsTa2OsC
Method: DFT, PBE-GGA
State: relaxed

## Properties
**Magnetization**: 0.000 μB per atom
**Formation energy**: 4.664 eV per atom
**Final energy**: -4.339 eV per atom

```
data_CsTa2OsC
_symmetry_space_group_name_H-M 'P 4/m m m'
_symmetry_Int_Tables_number 123
_symmetry_space_group_name_Hall '-P 4 2'
_cell_length_a 5.017
_cell_length_b 5.017
_cell_length_c 4.832
_cell_angle_alpha 90.00
_cell_angle_beta 90.00
_cell_angle_gamma 90.00
loop_
_atom_site_label
_atom_site_type_symbol
_atom_site_fract_x
_atom_site_fract_y
_atom_site_fract_z
_atom_site_occupancy
Cs1 Cs 0.000 0.000 0.000 1
Ta1 Ta 0.000 0.500 0.000 1
Os1 Os 0.000 0.000 0.500 1
C1 C 0.500 0.500 0.500 1
```



6.
Material: TlBi2Mo
Method: DFT, PBE-GGA
State: relaxed

## Properties
**Magnetization**: 0.691 μB per atom
**Formation energy**: 0.673 eV per atom
**Relative energy among the computed polymorphs**: 0.0 kJ/mol of atoms
**Final energy**: -4.567 eV per atom

```
data_TlBi2Mo
_symmetry_space_group_name_H-M 'F m -3 m'
_symmetry_Int_Tables_number 225
_symmetry_space_group_name_Hall '-F 4 2 3'
_cell_length_a 7.502
_cell_length_b 7.502
_cell_length_c 7.502
_cell_angle_alpha 90.00
_cell_angle_beta 90.00
_cell_angle_gamma 90.00
loop_
_atom_site_label
_atom_site_type_symbol
_atom_site_fract_x
_atom_site_fract_y
_atom_site_fract_z
_atom_site_occupancy
Tl1 Tl 0.000 0.000 0.000 1
Bi1 Bi 0.250 0.250 0.250 1
Mo1 Mo 0.000 0.000 0.500 1
```